A plane-wave DFT calculation with PBE was carried out for a relaxed Rb2PtF5 crystal.

```
Rb2PtF5
1.0
-3.737 -4.654 1.182
5.878 -0.767 1.372
-0.716 5.030 3.348
Rb Pt F
2 1 5
Direct
0.500 0.250 0.750
0.500 0.750 0.250
0.000 0.997 0.997
0.556 0.771 0.771
0.000 0.771 0.215
0.000 0.215 0.771
0.444 0.215 0.215
0.000 0.254 0.254
```

E_form (uncorrected), meV/atom: -2018
Calculated total energy, eV/cell: -33.473
V, Å³ per atom: 20.74